[1]
Below is crystalline InSb2Br2 at its relaxed geometry, with properties calculated at the PBE-GGA level.

Energy above the lowest structure with this stoichiometry, kJ/mol of formula units: 0
Total magnetization, μB per cell: 0.000
VASP energy, eV/atom: -3.044
E_form (uncorrected), eV per atom: -0.1780

Unit cell a=7.893 b=7.893 c=5.643 alpha=90.00 beta=90.00 gamma=90.00
Space group P4/mbm (No. 127)
Symmetry-distinct sites (fractional):
In1 0.000 0.000 0.000
Sb1 0.131 0.369 0.000
Br1 0.173 0.327 0.500



[2]
Below is crystalline TbTm3Zn at its relaxed geometry, with properties calculated at the PBE-GGA level.

E_form, eV per atom: 0.06
Total magnetization, μB per cell: 0.000
VASP energy, eV/atom: -3.805

Unit cell a=11.353 b=8.362 c=7.627 alpha=90.00 beta=124.96 gamma=90.00
Space group C2/m (No. 12)
Symmetry-distinct sites (fractional):
Tb1 0.082 0.000 0.274
Tm1 0.049 0.500 0.312
Tm2 0.189 0.201 0.716
Zn1 0.234 0.000 0.067



[3]
Below is crystalline DyHoScCd at its relaxed geometry, with properties calculated at the PBE-GGA level.

Energy above the lowest structure with this stoichiometry, kJ/mol of formula units: 32
E_form, eV per atom: -0.04
Total magnetization, μB per cell: 0.023
VASP energy, eV/atom: -4.151

Unit cell a=7.529 b=7.529 c=7.529 alpha=90.00 beta=90.00 gamma=90.00
Space group F-43m (No. 216)
Symmetry-distinct sites (fractional):
Dy1 0.000 0.000 0.000
Ho1 0.000 0.000 0.500
Sc1 0.250 0.250 0.250
Cd1 0.250 0.250 0.750



[4]
Below is crystalline AlZn3Cl at its relaxed geometry, with properties calculated at the PBE-GGA level.

Energy above the lowest structure with this stoichiometry, kJ/mol of formula units: 264
Total magnetization, μB per cell: 0.000
VASP energy, eV/atom: -1.230
E_form (uncorrected), eV per atom: 0.6521

Unit cell a=4.999 b=4.999 c=4.999 alpha=90.00 beta=90.00 gamma=90.00
Space group Pm-3m (No. 221)
Symmetry-distinct sites (fractional):
Al1 0.000 0.000 0.000
Zn1 0.000 0.500 0.500
Cl1 0.500 0.500 0.500



[5]
Below is crystalline UNiTe at its relaxed geometry, with properties calculated at the PBE-GGA level.

Total magnetization, μB per cell: 4.929
VASP energy, eV/atom: -6.859
E_form (uncorrected), eV per atom: -0.1216

Unit cell a=7.168 b=4.545 c=4.284 alpha=90.00 beta=90.00 gamma=90.00
Space group Pmma (No. 51)
Symmetry-distinct sites (fractional):
U1 0.000 0.000 0.000
Ni1 0.250 0.000 0.432
Te1 0.250 0.500 0.695



[6]
Below is crystalline Ag4I5Br at its relaxed geometry, with properties calculated at the PBE-GGA level.

Total magnetization, μB per cell: 0.000
VASP energy, eV/atom: -2.229
E_form (uncorrected), eV per atom: -0.1464

Unit cell a=8.464 b=12.299 c=7.089 alpha=90.00 beta=90.00 gamma=90.00
Space group Pmmn (No. 59, origin choice 2)
Symmetry-distinct sites (fractional):
Ag1 0.010 0.250 0.000
Ag2 0.250 0.526 0.476
I1 0.002 0.081 0.277
I2 0.250 0.750 0.243
Br1 0.250 0.250 0.767